Computed, not measured: La2GaFeAu after structural relaxation at the GGA-PBE level of DFT.

a = 5.1978 Å, b = 5.1978 Å, c = 4.6221 Å
α = 90.00°, β = 90.00°, γ = 90.00°
Fractional coordinates of all 5 atoms:
La 0.0000 0.5000 0.0000
La 0.5000 0.0000 0.0000
Ga 0.0000 0.0000 0.5000
Fe 0.0000 0.0000 0.0000
Au 0.5000 0.5000 0.5000

Properties
The total moment comes out at 0.00 μB per cell. The formation energy comes out at -0.394 eV per atom. Its space-group type is No. 123. For the uncorrected energy, the calculation gives -26.59 eV per cell.



Computed, not measured: MgGaFe2Au after structural relaxation at the GGA-PBE level of DFT.

a = 4.8379 Å, b = 4.8379 Å, c = 4.9319 Å
α = 90.00°, β = 90.00°, γ = 90.00°
Fractional coordinates of all 5 atoms:
Mg 0.0000 0.0000 0.0000
Ga 0.5000 0.5000 0.0000
Fe 0.0000 0.5000 0.5000
Fe 0.5000 0.0000 0.5000
Au 0.0000 0.0000 0.5000

Properties
The total moment comes out at 6.19 μB per cell. The formation energy comes out at 0.842 eV per atom. Its space-group type is No. 123. For the uncorrected energy, the calculation gives -20.61 eV per cell.



Computed, not measured: GaFeNiAu after structural relaxation at the GGA-PBE level of DFT.

a = 4.2879 Å, b = 4.2879 Å, c = 4.2879 Å
α = 60.00°, β = 60.00°, γ = 60.00°
Fractional coordinates of all 4 atoms:
Ga 0.0000 0.0000 0.0000
Fe 0.2500 0.2500 0.2500
Ni 0.7500 0.7500 0.7500
Au 0.5000 0.5000 0.5000

Properties
The total moment comes out at 3.00 μB per cell. The formation energy comes out at -0.018 eV per atom. Its space-group type is No. 216. For the uncorrected energy, the calculation gives -20.62 eV per cell.



Question: The lowest uncorrected energy belongs to which entry?
Answer: La2GaFeAu



Question: Among the records above, which one has the highest total moment?
Answer: MgGaFe2Au



Question: Among the records above, which one has the highest uncorrected energy?
Answer: MgGaFe2Au